(1)
Here is crystalline UP2Ru at its relaxed geometry from Alexandria. Energies are from GGA-PBE.

The structure in POSCAR format:
```
UP2Ru
1.0
3.741 0.000 0.000
1.871 3.240 0.000
1.871 1.080 5.846
U P Ru
1 2 1
Cartesian
5.612 3.240 5.781
1.871 1.080 4.055
1.871 1.080 1.651
3.741 2.160 3.128
```

Properties
The space-group type is R3m. For the total magnetization, the calculation gives 2.0 μB per formula unit. The energy relative to the lowest polymorph listed for this composition comes out at 237 meV per atom. The density of states at the Fermi level comes out at 6.95 states/eV per cell. The value obtained for the total energy is -33.62 eV per cell.



(2)
Here is crystalline U3P4Ru4 at its relaxed geometry from Alexandria. Energies are from GGA-PBE.

The structure in POSCAR format:
```
U3P4Ru4
1.0
-2.061 3.293 0.614
0.356 1.500 -6.849
-4.597 -5.622 2.128
U P Ru
3 4 4
Cartesian
-1.089 -0.644 -0.198
-5.213 -0.184 -3.909
0.178 0.750 -3.424
-2.249 -0.686 -3.865
-4.053 -0.142 -0.242
-0.753 2.813 -5.018
-0.951 1.980 -1.217
-3.592 -2.385 0.735
-2.852 0.955 -2.093
-2.709 1.556 -4.842
-3.449 -1.783 -2.014
```

Properties
The space-group type is Immm. For the total magnetization, the calculation gives 1.7 μB per formula unit. The energy relative to the lowest polymorph listed for this composition comes out at 0 meV per atom. The density of states at the Fermi level comes out at 14.46 states/eV per cell. The value obtained for the total energy is -101.71 eV per cell.



(3)
Here is crystalline U2P2Ru at its relaxed geometry from Alexandria. Energies are from GGA-PBE.

The structure in POSCAR format:
```
U2P2Ru
1.0
3.939 0.000 0.000
0.000 6.793 0.000
-1.969 0.000 7.047
U P Ru
4 4 2
Cartesian
1.969 4.732 6.174
1.969 2.901 4.409
0.000 6.297 2.638
0.000 1.335 0.873
0.000 2.782 6.381
1.969 0.124 4.480
0.000 3.520 2.567
1.969 6.179 0.666
0.000 0.564 5.689
1.969 3.960 1.358
```

Properties
The space-group type is Cmc2_1. For the total magnetization, the calculation gives 1.8 μB per formula unit. The energy relative to the lowest polymorph listed for this composition comes out at 0 meV per atom. The density of states at the Fermi level comes out at 14.28 states/eV per cell. The value obtained for the total energy is -92.82 eV per cell.



(4)
Here is crystalline U3P3Ru at its relaxed geometry from Alexandria. Energies are from GGA-PBE.

The structure in POSCAR format:
```
U3P3Ru
1.0
-4.480 -0.969 2.952
-4.494 1.743 -6.248
2.392 -7.425 1.192
U P Ru
6 6 2
Cartesian
-5.004 -3.899 -1.322
-5.000 -0.686 -0.261
-6.673 -1.535 -3.078
-1.578 -2.752 -0.781
-1.583 -5.966 -1.843
0.090 -5.116 0.974
-2.845 -3.863 -3.068
-2.468 -0.206 -1.295
-4.644 -0.597 -4.726
-3.738 -2.788 0.964
-4.115 -6.445 -0.808
-1.939 -6.055 2.623
-3.319 -1.555 -3.030
-3.264 -5.096 0.926
```

Properties
The space-group type is P6_3/m. For the total magnetization, the calculation gives 6.0 μB per formula unit. The density of states at the Fermi level comes out at 23.99 states/eV per cell. The value obtained for the total energy is -128.26 eV per cell.



(5)
Here is crystalline UP2Ru at its relaxed geometry from Alexandria. Energies are from GGA-PBE.

The structure in POSCAR format:
```
UP2Ru
1.0
-0.032 -0.028 -3.026
3.428 -1.288 -0.024
-3.918 -5.254 1.602
U P Ru
1 2 1
Cartesian
2.123 -2.331 -0.326
-0.161 -3.174 -1.808
-2.933 -5.376 -0.245
-0.755 -4.783 -0.273
```

Properties
The space-group type is Imm2. For the total magnetization, the calculation gives 1.9 μB per formula unit. The energy relative to the lowest polymorph listed for this composition comes out at 266 meV per atom. The density of states at the Fermi level comes out at 5.24 states/eV per cell. The value obtained for the total energy is -33.50 eV per cell.



(6)
Here is crystalline UPRu at its relaxed geometry from Alexandria. Energies are from GGA-PBE.

The structure in POSCAR format:
```
UPRu
1.0
-0.927 0.090 4.333
1.110 -4.394 0.328
5.157 1.212 -1.200
U P Ru
2 2 2
Cartesian
3.889 0.039 3.104
1.451 -3.131 0.358
2.658 -0.460 0.580
2.682 -2.632 2.882
1.219 -0.677 2.539
4.121 -2.415 0.924
```

Properties
The space-group type is P2_1/m. For the total magnetization, the calculation gives 1.1 μB per formula unit. The density of states at the Fermi level comes out at 8.60 states/eV per cell. The value obtained for the total energy is -54.45 eV per cell.



(7)
Here is crystalline U2P2Ru at its relaxed geometry from Alexandria. Energies are from GGA-PBE.

The structure in POSCAR format:
```
U2P2Ru
1.0
3.858 0.000 0.854
1.841 5.084 0.827
0.012 -0.160 9.088
U P Ru
4 4 2
Cartesian
0.677 0.952 6.085
3.712 1.793 1.517
5.034 3.972 4.685
1.999 3.131 9.253
3.035 1.653 4.575
3.530 4.510 2.338
2.676 3.271 6.195
2.181 0.414 8.431
1.368 1.288 2.964
4.344 3.636 7.805
```

Properties
The space-group type is C2/m. For the total magnetization, the calculation gives 1.5 μB per formula unit. The energy relative to the lowest polymorph listed for this composition comes out at 38 meV per atom. The density of states at the Fermi level comes out at 15.98 states/eV per cell. The value obtained for the total energy is -92.43 eV per cell.



(8)
Here is crystalline UP2Ru3 at its relaxed geometry from Alexandria. Energies are from GGA-PBE.

The structure in POSCAR format:
```
UP2Ru3
1.0
3.860 0.000 0.000
-1.930 7.517 -2.522
0.000 -0.083 9.532
U P Ru
3 6 9
Cartesian
0.000 2.311 5.853
1.930 5.123 1.157
0.000 0.000 0.000
0.000 2.929 0.228
1.930 4.506 6.782
0.000 6.904 -0.185
1.930 0.530 7.195
0.000 5.432 3.414
1.930 2.002 3.596
0.000 0.612 2.890
1.930 6.823 4.120
0.000 3.333 2.572
1.930 4.102 4.438
1.930 1.787 1.232
0.000 5.647 5.778
1.930 -0.042 4.766
0.000 4.814 -1.153
1.930 2.621 8.163
```

Properties
The space-group type is C2/m. For the total magnetization, the calculation gives 0.6 μB per formula unit. The density of states at the Fermi level comes out at 14.45 states/eV per cell. The value obtained for the total energy is -162.31 eV per cell.



Question: Which of these has the highest total energy?
Answer: number 5



Question: Look up the total magnetization of the first one.
Answer: 2.0 μB per formula unit



Question: Among the records above, which one has the lowest total energy?
Answer: UP2Ru3